1.
Density functional theory data (PBE) for a relaxed KCaSc2Al crystal.

Properties
DOS at the Fermi energy, states/eV per atom: 0.931
Crystal system: tetragonal
Formation enthalpy at 0 K, meV per atom: 396

POSCAR file:
```
KCaSc2Al
1.0
5.4937 0.0000 0.0000
0.0000 5.4937 0.0000
0.0000 0.0000 5.9252
K Ca Sc Al
1 1 2 1
direct
0.0000 0.0000 0.0000
0.5000 0.5000 0.0000
0.0000 0.5000 0.5000
0.5000 0.0000 0.5000
0.5000 0.5000 0.5000
```



2.
Density functional theory data (PBE) for a relaxed KCaAlSe3 crystal.

Properties
Crystal system: monoclinic
VASP energy, hartree per atom: -0.1477

POSCAR file:
```
KCaAlSe3
1.0
8.1219 -2.5322 0.0000
8.1219 2.5322 0.0000
-2.1885 0.0000 8.3669
K Ca Al Se
2 2 2 6
direct
0.1525 0.1525 0.0633
0.8475 0.8475 0.9367
0.1455 0.1455 0.5653
0.8545 0.8545 0.4347
0.4863 0.4863 0.7218
0.5137 0.5137 0.2782
0.0016 0.0016 0.2739
0.3347 0.3347 0.6638
0.3612 0.3612 0.2347
0.6388 0.6388 0.7653
0.6653 0.6653 0.3362
0.9984 0.9984 0.7261
```



3.
Density functional theory data (PBE) for a relaxed KCaAlSe2 crystal.

Properties
DOS at the Fermi energy, states/eV per atom: 0.293
Crystal system: tetragonal
VASP energy, hartree per atom: -0.1144

POSCAR file:
```
KCaAlSe2
1.0
5.3730 0.0000 0.0000
0.0000 5.3730 0.0000
0.0000 0.0000 5.3053
K Ca Al Se
1 1 1 2
direct
0.0000 0.0000 0.0000
0.5000 0.5000 0.0000
0.5000 0.5000 0.5000
0.0000 0.5000 0.5000
0.5000 0.0000 0.5000
```



4.
Density functional theory data (PBE) for a relaxed K2CaAlSn2 crystal.

Properties
DOS at the Fermi energy, states/eV per atom: 0.932
Crystal system: orthorhombic
Formation enthalpy at 0 K, meV per atom: -249

POSCAR file:
```
K2CaAlSn2
1.0
4.8232 0.0000 0.0000
0.0000 9.9640 0.0000
0.0000 0.0000 8.1260
K Ca Al Sn
4 2 2 4
direct
0.0000 0.0926 0.0000
0.0000 0.9074 0.5000
0.5000 0.1552 0.3216
0.5000 0.8448 0.8216
0.5000 0.4632 0.9992
0.5000 0.5368 0.4992
0.0000 0.3405 0.6320
0.0000 0.6595 0.1320
0.0000 0.3992 0.2772
0.0000 0.6008 0.7772
0.5000 0.2112 0.7312
0.5000 0.7888 0.2312
```



5.
Density functional theory data (PBE) for a relaxed KSr2CaAl crystal.

Properties
DOS at the Fermi energy, states/eV per atom: 0.714
Crystal system: tetragonal
Formation enthalpy at 0 K, meV per atom: 78

POSCAR file:
```
KSr2CaAl
1.0
6.4660 0.0000 0.0000
0.0000 6.4660 0.0000
0.0000 0.0000 6.1217
K Sr Ca Al
1 2 1 1
direct
0.0000 0.0000 0.0000
0.0000 0.5000 0.5000
0.5000 0.0000 0.5000
0.5000 0.5000 0.0000
0.5000 0.5000 0.5000
```



6.
Density functional theory data (PBE) for a relaxed K2CaTiAl crystal.

Properties
DOS at the Fermi energy, states/eV per atom: 1.808
Crystal system: tetragonal
Formation enthalpy at 0 K, meV per atom: 792

POSCAR file:
```
K2CaTiAl
1.0
6.4115 0.0000 0.0000
0.0000 6.4115 0.0000
0.0000 0.0000 5.3624
K Ca Ti Al
2 1 1 1
direct
0.0000 0.5000 0.0000
0.5000 0.0000 0.0000
0.0000 0.0000 0.5000
0.5000 0.5000 0.5000
0.5000 0.5000 0.0000
```



7.
Density functional theory data (PBE) for a relaxed KCaY2Al crystal.

Properties
DOS at the Fermi energy, states/eV per atom: 0.763
Crystal system: tetragonal
Formation enthalpy at 0 K, meV per atom: 887

POSCAR file:
```
KCaY2Al
1.0
5.8794 0.0000 0.0000
0.0000 5.8794 0.0000
0.0000 0.0000 5.6643
K Ca Y Al
1 1 2 1
direct
0.0000 0.0000 0.0000
0.5000 0.5000 0.5000
0.0000 0.5000 0.5000
0.5000 0.0000 0.5000
0.5000 0.5000 0.0000
```



8.
Density functional theory data (PBE) for a relaxed CaLaAl2 crystal.

Properties
DOS at the Fermi energy, states/eV per atom: 1.038
Crystal system: orthorhombic
Formation enthalpy at 0 K, meV per atom: -237

POSCAR file:
```
CaLaAl2
1.0
3.8932 0.0000 0.0000
0.0000 5.1266 0.0000
0.0000 0.0000 10.7073
Ca La Al
2 2 4
direct
0.0000 0.0000 0.0000
0.5000 0.5000 0.5000
0.0000 0.5000 0.2155
0.5000 0.0000 0.7155
0.0000 0.0000 0.4467
0.0000 0.5000 0.7771
0.5000 0.0000 0.2771
0.5000 0.5000 0.9467
```



9.
Density functional theory data (PBE) for a relaxed CaLaAl3 crystal.

Properties
DOS at the Fermi energy, states/eV per atom: 0.463
Crystal system: cubic
Formation enthalpy at 0 K, meV per atom: 571

POSCAR file:
```
CaLaAl3
1.0
5.2901 0.0000 0.0000
0.0000 5.2901 0.0000
0.0000 0.0000 5.2901
Ca La Al
1 1 3
direct
0.0000 0.0000 0.0000
0.5000 0.5000 0.5000
0.0000 0.0000 0.5000
0.0000 0.5000 0.0000
0.5000 0.0000 0.0000
```



10.
Density functional theory data (PBE) for a relaxed CaLaAl2 crystal.

Properties
DOS at the Fermi energy, states/eV per atom: 0.762
Crystal system: orthorhombic
Formation enthalpy at 0 K, meV per atom: -284

POSCAR file:
```
CaLaAl2
1.0
4.5717 0.0000 0.0000
0.0000 3.9743 0.0000
0.0000 0.0000 12.2641
Ca La Al
2 2 4
direct
0.0000 0.0000 0.0000
0.0000 0.5000 0.5000
0.5000 0.0000 0.6980
0.5000 0.5000 0.1980
0.0000 0.0000 0.2893
0.0000 0.5000 0.7893
0.5000 0.0000 0.4161
0.5000 0.5000 0.9161
```



11.
Density functional theory data (PBE) for a relaxed Ca2LaAl2 crystal.

Properties
DOS at the Fermi energy, states/eV per atom: 0.533
Crystal system: tetragonal
Formation enthalpy at 0 K, meV per atom: -122

POSCAR file:
```
Ca2LaAl2
1.0
9.2169 0.0000 0.0000
0.0000 9.2169 0.0000
0.0000 0.0000 3.3204
Ca La Al
4 2 4
direct
0.1241 0.3759 0.0000
0.3759 0.8759 0.0000
0.6241 0.1241 0.0000
0.8759 0.6241 0.0000
0.0000 0.0000 0.0000
0.5000 0.5000 0.0000
0.1748 0.6748 0.5000
0.3252 0.1748 0.5000
0.6748 0.8252 0.5000
0.8252 0.3252 0.5000
```



12.
Density functional theory data (PBE) for a relaxed CaLa4Al2 crystal.

Properties
DOS at the Fermi energy, states/eV per atom: 0.785
Crystal system: trigonal
Formation enthalpy at 0 K, meV per atom: -178

POSCAR file:
```
CaLa4Al2
1.0
2.7190 1.5698 8.6425
-2.7190 1.5698 8.6425
0.0000 -3.1397 8.6425
Ca La Al
1 4 2
direct
0.0000 0.0000 0.0000
0.1433 0.1433 0.1433
0.3977 0.3977 0.3977
0.6023 0.6023 0.6023
0.8567 0.8567 0.8567
0.2668 0.2668 0.2668
0.7332 0.7332 0.7332
```